{
  "formula": "TlGaMo2Se",
  "functional": "GGA-PBEsol",
  "state": "optimized geometry",
  "energy_ev_per_cell": -26.925,
  "raw_formation_energy_mev_per_atom": 1286,
  "cell": [[4.626, 0.000, 0.000], [0.000, 4.626, 0.000], [0.000, 0.000, 5.515]],
  "species": ["Tl", "Ga", "Mo", "Mo", "Se"],
  "fractional_positions": [[0.000, 0.000, 0.000], [0.500, 0.500, 0.000], [0.000, 0.500, 0.500], [0.500, 0.000, 0.500], [0.000, 0.000, 0.500]]
}


{
  "formula": "GaSiMo3",
  "functional": "GGA-PBEsol",
  "state": "optimized geometry",
  "energy_ev_per_cell": -39.391,
  "e_above_lowest_polymorph_mev_per_atom": 0,
  "raw_formation_energy_mev_per_atom": 1000,
  "cell": [[4.443, 0.000, 0.000], [0.000, 4.443, 0.000], [0.000, 0.000, 4.443]],
  "species": ["Ga", "Si", "Mo", "Mo", "Mo"],
  "fractional_positions": [[0.000, 0.000, 0.000], [0.500, 0.500, 0.500], [0.000, 0.500, 0.500], [0.500, 0.000, 0.500], [0.500, 0.500, 0.000]]
}


{
  "formula": "TaGa2Mo2",
  "functional": "GGA-PBEsol",
  "state": "optimized geometry",
  "ef_ev_per_atom": -0.132,
  "energy_ev_per_cell": -86.848,
  "cell": [[6.772, 0.000, 0.000], [0.000, 6.772, 0.000], [0.000, 0.000, 3.329]],
  "species": ["Ta", "Ta", "Ga", "Ga", "Ga", "Ga", "Mo", "Mo", "Mo", "Mo"],
  "fractional_positions": [[0.000, 0.000, 0.000], [0.500, 0.500, 0.000], [0.127, 0.373, 0.000], [0.373, 0.873, 0.000], [0.627, 0.127, 0.000], [0.873, 0.627, 0.000], [0.174, 0.674, 0.500], [0.326, 0.174, 0.500], [0.674, 0.826, 0.500], [0.826, 0.326, 0.500]]
}


{
  "formula": "GaTc3Mo",
  "functional": "GGA-PBEsol",
  "state": "optimized geometry",
  "ef_ev_per_atom": 1.593,
  "energy_ev_per_cell": -40.943,
  "e_above_lowest_polymorph_mev_per_atom": 0,
  "cell": [[4.382, 0.000, 0.000], [0.000, 4.382, 0.000], [0.000, 0.000, 4.382]],
  "species": ["Ga", "Tc", "Tc", "Tc", "Mo"],
  "fractional_positions": [[0.000, 0.000, 0.000], [0.000, 0.000, 0.500], [0.000, 0.500, 0.000], [0.500, 0.000, 0.000], [0.500, 0.500, 0.500]]
}


{
  "formula": "GaTc3Mo",
  "functional": "GGA-PBEsol",
  "state": "optimized geometry",
  "ef_ev_per_atom": 1.762,
  "energy_ev_per_cell": -40.094,
  "e_above_lowest_polymorph_mev_per_atom": 170,
  "cell": [[4.584, 0.000, 0.000], [0.000, 4.584, 0.000], [0.000, 0.000, 4.584]],
  "species": ["Ga", "Tc", "Tc", "Tc", "Mo"],
  "fractional_positions": [[0.000, 0.000, 0.000], [0.000, 0.500, 0.500], [0.500, 0.000, 0.500], [0.500, 0.500, 0.000], [0.500, 0.500, 0.500]]
}


{
  "formula": "GaTe2Mo",
  "functional": "GGA-PBEsol",
  "state": "optimized geometry",
  "energy_ev_per_cell": -21.915,
  "raw_formation_energy_mev_per_atom": 61,
  "cell": [[1.682, 0.971, 9.950], [-1.682, 0.971, 9.950], [0.000, -1.942, 9.950]],
  "species": ["Ga", "Te", "Te", "Mo"],
  "fractional_positions": [[0.000, 0.000, 0.000], [0.103, 0.103, 0.103], [0.897, 0.897, 0.897], [0.500, 0.500, 0.500]]
}


{
  "formula": "GaTeMo3",
  "functional": "GGA-PBEsol",
  "state": "optimized geometry",
  "energy_ev_per_cell": -34.530,
  "raw_formation_energy_mev_per_atom": 1528,
  "cell": [[4.603, 0.000, 0.000], [0.000, 4.603, 0.000], [0.000, 0.000, 4.603]],
  "species": ["Ga", "Te", "Mo", "Mo", "Mo"],
  "fractional_positions": [[0.000, 0.000, 0.000], [0.500, 0.500, 0.500], [0.000, 0.000, 0.500], [0.000, 0.500, 0.000], [0.500, 0.000, 0.000]]
}


{
  "formula": "GaTe2Mo",
  "functional": "GGA-PBEsol",
  "state": "optimized geometry",
  "energy_ev_per_cell": -18.947,
  "raw_formation_energy_mev_per_atom": 803,
  "cell": [[1.774, 1.024, 8.792], [-1.774, 1.024, 8.792], [0.000, -2.049, 8.792]],
  "species": ["Ga", "Te", "Te", "Mo"],
  "fractional_positions": [[0.000, 0.000, 0.000], [0.403, 0.403, 0.403], [0.597, 0.597, 0.597], [0.500, 0.500, 0.500]]
}


{
  "formula": "TiGa2Mo2",
  "functional": "GGA-PBEsol",
  "state": "optimized geometry",
  "ef_ev_per_atom": -0.246,
  "energy_ev_per_cell": -79.537,
  "cell": [[6.656, 0.000, 0.000], [0.000, 6.656, 0.000], [0.000, 0.000, 3.393]],
  "species": ["Ti", "Ti", "Ga", "Ga", "Ga", "Ga", "Mo", "Mo", "Mo", "Mo"],
  "fractional_positions": [[0.000, 0.000, 0.000], [0.500, 0.500, 0.000], [0.129, 0.371, 0.000], [0.371, 0.871, 0.000], [0.629, 0.129, 0.000], [0.871, 0.629, 0.000], [0.173, 0.673, 0.500], [0.327, 0.173, 0.500], [0.673, 0.827, 0.500], [0.827, 0.327, 0.500]]
}


{
  "formula": "TiGa2Mo",
  "functional": "GGA-PBEsol",
  "state": "optimized geometry",
  "ef_ev_per_atom": -0.151,
  "energy_ev_per_cell": -27.374,
  "cell": [[0.000, 3.098, 3.098], [3.098, 0.000, 3.098], [3.098, 3.098, 0.000]],
  "species": ["Ti", "Ga", "Ga", "Mo"],
  "fractional_positions": [[0.000, 0.000, 0.000], [0.250, 0.250, 0.250], [0.750, 0.750, 0.750], [0.500, 0.500, 0.500]]
}


{
  "formula": "TlGaMo2",
  "functional": "GGA-PBEsol",
  "state": "optimized geometry",
  "ef_ev_per_atom": 0.584,
  "energy_ev_per_cell": -27.168,
  "cell": [[0.000, 3.200, 3.200], [3.200, 0.000, 3.200], [3.200, 3.200, 0.000]],
  "species": ["Tl", "Ga", "Mo", "Mo"],
  "fractional_positions": [[0.000, 0.000, 0.000], [0.500, 0.500, 0.500], [0.250, 0.250, 0.250], [0.750, 0.750, 0.750]]
}


{
  "formula": "Y2TlGaMo",
  "functional": "GGA-PBEsol",
  "state": "optimized geometry",
  "ef_ev_per_atom": 1.249,
  "energy_ev_per_cell": -25.138,
  "cell": [[5.631, 0.000, 0.000], [0.000, 5.631, 0.000], [0.000, 0.000, 4.837]],
  "species": ["Y", "Y", "Tl", "Ga", "Mo"],
  "fractional_positions": [[0.000, 0.500, 0.000], [0.500, 0.000, 0.000], [0.000, 0.000, 0.000], [0.000, 0.000, 0.500], [0.500, 0.500, 0.500]]
}


Repeat the eleventh record exactly.
{
  "formula": "TlGaMo2",
  "functional": "GGA-PBEsol",
  "state": "optimized geometry",
  "ef_ev_per_atom": 0.584,
  "energy_ev_per_cell": -27.168,
  "cell": [[0.000, 3.200, 3.200], [3.200, 0.000, 3.200], [3.200, 3.200, 0.000]],
  "species": ["Tl", "Ga", "Mo", "Mo"],
  "fractional_positions": [[0.000, 0.000, 0.000], [0.500, 0.500, 0.500], [0.250, 0.250, 0.250], [0.750, 0.750, 0.750]]
}